1.
Computed, not measured: Zr2SbPt after structural relaxation at the PBE level of DFT.

## Properties
Total energy ... -7.453 eV per atom
Symmetry ... Cmmm (65)
Energy relative to the elements, uncorrected ... -0.6383 eV/atom

Cell lengths 3.231, 3.231, 8.020 Å; angles 90.00, 90.00, 95.89 degrees
Positions (direct):
Zr (0.000, 0.000, 0.225)
Zr (0.000, 0.000, 0.775)
Sb (0.500, 0.500, 0.500)
Pt (0.500, 0.500, 0.000)

2.
Computed, not measured: Zr2SbPt after structural relaxation at the PBE level of DFT.

## Properties
Total energy ... -7.488 eV per atom
Symmetry ... Pmmm (47)
Energy relative to the elements, uncorrected ... -0.6736 eV/atom

Cell lengths 4.301, 4.325, 4.327 Å; angles 90.00, 90.00, 90.00 degrees
Positions (direct):
Zr (0.000, 0.000, 0.000)
Zr (0.500, 0.500, 0.000)
Sb (0.000, 0.500, 0.500)
Pt (0.500, 0.000, 0.500)

- energy relative to the elements, uncorrected of number 1 (Zr2SbPt)?
  -0.6383 eV/atom

- Among the records above, which one has the lowest total energy?
  number 2

What did the first record say?
Computed, not measured: Zr2SbPt after structural relaxation at the PBE level of DFT.

## Properties
Total energy ... -7.453 eV per atom
Symmetry ... Cmmm (65)
Energy relative to the elements, uncorrected ... -0.6383 eV/atom

Cell lengths 3.231, 3.231, 8.020 Å; angles 90.00, 90.00, 95.89 degrees
Positions (direct):
Zr (0.000, 0.000, 0.225)
Zr (0.000, 0.000, 0.775)
Sb (0.500, 0.500, 0.500)
Pt (0.500, 0.500, 0.000)